Compound: ScTl2AgI6
Source: OQMD
Functional: PBE
Structure: relaxed

Cell and atoms, written as CIF:
```
data_ScTl2AgI6
_cell_length_a 8.280
_cell_length_b 8.280
_cell_length_c 8.280
_cell_angle_alpha 122.38
_cell_angle_beta 122.38
_cell_angle_gamma 85.92
_space_group_name_H-M_alt 'P 1'
_space_group_IT_number 1
_space_group_name_Hall 'P 1'
loop_
_atom_site_label
_atom_site_type_symbol
_atom_site_fract_x
_atom_site_fract_y
_atom_site_fract_z
Ag1 Ag 0.000 0.000 0.000
I1 I 0.260 0.260 0.000
I2 I 0.740 0.740 0.000
I3 I 0.326 0.819 0.145
I4 I 0.819 0.674 0.492
I5 I 0.181 0.326 0.508
I6 I 0.674 0.181 0.855
Sc1 Sc 0.500 0.500 0.000
Tl1 Tl 0.750 0.250 0.500
Tl2 Tl 0.250 0.750 0.500
```

Calculated values
Spin magnetization (Bohr magnetons per cell): 0.0
Offset from the most stable computed form (eV/atom): 0.002
Symmetry: I4/m

Compound: AgSe4I
Source: OQMD
Functional: PBE
Structure: relaxed

Cell and atoms, written as CIF:
```
data_AgSe4I
_cell_length_a 7.226
_cell_length_b 7.235
_cell_length_c 8.138
_cell_angle_alpha 66.55
_cell_angle_beta 67.76
_cell_angle_gamma 86.59
_space_group_name_H-M_alt 'P 1'
_space_group_IT_number 1
_space_group_name_Hall 'P 1'
loop_
_atom_site_label
_atom_site_type_symbol
_atom_site_fract_x
_atom_site_fract_y
_atom_site_fract_z
Ag1 Ag 0.714 0.079 0.036
Ag2 Ag 0.286 0.921 0.964
I1 I 0.201 0.292 0.419
I2 I 0.799 0.708 0.581
Se1 Se 0.941 0.687 0.112
Se2 Se 0.863 0.244 0.209
Se3 Se 0.516 0.573 0.239
Se4 Se 0.363 0.866 0.272
Se5 Se 0.637 0.134 0.728
Se6 Se 0.484 0.427 0.761
Se7 Se 0.137 0.756 0.791
Se8 Se 0.059 0.313 0.888
```

Calculated values
Symmetry: P-1

Compound: AgSe3I
Source: OQMD
Functional: PBE
Structure: relaxed

Cell and atoms, written as CIF:
```
data_AgSe3I
_cell_length_a 15.070
_cell_length_b 4.740
_cell_length_c 8.307
_cell_angle_alpha 90.00
_cell_angle_beta 90.00
_cell_angle_gamma 90.00
_space_group_name_H-M_alt 'P 1'
_space_group_IT_number 1
_space_group_name_Hall 'P 1'
loop_
_atom_site_label
_atom_site_type_symbol
_atom_site_fract_x
_atom_site_fract_y
_atom_site_fract_z
Ag1 Ag 0.250 0.697 0.250
Ag2 Ag 0.750 0.697 0.250
Ag3 Ag 0.250 0.303 0.750
Ag4 Ag 0.750 0.303 0.750
I1 I 0.338 0.000 0.000
I2 I 0.662 0.000 0.000
I3 I 0.162 0.000 0.500
I4 I 0.838 0.000 0.500
Se1 Se 0.120 0.374 0.128
Se2 Se 0.880 0.374 0.128
Se3 Se 0.500 0.603 0.238
Se4 Se 0.000 0.603 0.262
Se5 Se 0.380 0.374 0.372
Se6 Se 0.620 0.374 0.372
Se7 Se 0.380 0.626 0.628
Se8 Se 0.620 0.626 0.628
Se9 Se 0.000 0.397 0.738
Se10 Se 0.500 0.397 0.762
Se11 Se 0.120 0.626 0.872
Se12 Se 0.880 0.626 0.872
```

Calculated values
Symmetry: Pmna

Compound: SmAgI4
Source: OQMD
Functional: PBE
Structure: relaxed

Cell and atoms, written as CIF:
```
data_SmAgI4
_cell_length_a 7.545
_cell_length_b 4.365
_cell_length_c 7.976
_cell_angle_alpha 90.00
_cell_angle_beta 110.49
_cell_angle_gamma 90.00
_space_group_name_H-M_alt 'P 1'
_space_group_IT_number 1
_space_group_name_Hall 'P 1'
loop_
_atom_site_label
_atom_site_type_symbol
_atom_site_fract_x
_atom_site_fract_y
_atom_site_fract_z
Ag1 Ag 0.000 0.500 0.000
I1 I 0.243 0.000 0.225
I2 I 0.743 0.500 0.257
I3 I 0.257 0.500 0.743
I4 I 0.757 0.000 0.775
Sm1 Sm 0.500 0.000 0.000
```

Calculated values
Spin magnetization (Bohr magnetons per cell): 0.0
Symmetry: P2/m

Compound: Ag2SnI4
Source: OQMD
Functional: PBE
Structure: relaxed

Cell and atoms, written as CIF:
```
data_Ag2SnI4
_cell_length_a 8.097
_cell_length_b 8.097
_cell_length_c 8.097
_cell_angle_alpha 132.01
_cell_angle_beta 132.01
_cell_angle_gamma 70.21
_space_group_name_H-M_alt 'P 1'
_space_group_IT_number 1
_space_group_name_Hall 'P 1'
loop_
_atom_site_label
_atom_site_type_symbol
_atom_site_fract_x
_atom_site_fract_y
_atom_site_fract_z
Ag1 Ag 0.500 0.500 0.000
Ag2 Ag 0.250 0.750 0.500
I1 I 0.420 0.889 0.029
I2 I 0.609 0.580 0.469
I3 I 0.111 0.141 0.531
I4 I 0.859 0.391 0.971
Sn1 Sn 0.000 0.000 0.000
```

Calculated values
Symmetry: I-4

Compound: AgSnI4
Source: OQMD
Functional: PBE
Structure: relaxed

Cell and atoms, written as CIF:
```
data_AgSnI4
_cell_length_a 8.575
_cell_length_b 8.575
_cell_length_c 7.685
_cell_angle_alpha 114.25
_cell_angle_beta 114.25
_cell_angle_gamma 28.58
_space_group_name_H-M_alt 'P 1'
_space_group_IT_number 1
_space_group_name_Hall 'P 1'
loop_
_atom_site_label
_atom_site_type_symbol
_atom_site_fract_x
_atom_site_fract_y
_atom_site_fract_z
Ag1 Ag 0.500 0.500 0.500
I1 I 0.373 0.373 0.037
I2 I 0.110 0.110 0.442
I3 I 0.890 0.890 0.558
I4 I 0.627 0.627 0.963
Sn1 Sn 0.000 0.000 0.000
```

Calculated values
Symmetry: C2/m

Compound: SrAgI4
Source: OQMD
Functional: PBE
Structure: relaxed

Cell and atoms, written as CIF:
```
data_SrAgI4
_cell_length_a 7.578
_cell_length_b 4.442
_cell_length_c 7.627
_cell_angle_alpha 90.00
_cell_angle_beta 107.97
_cell_angle_gamma 90.00
_space_group_name_H-M_alt 'P 1'
_space_group_IT_number 1
_space_group_name_Hall 'P 1'
loop_
_atom_site_label
_atom_site_type_symbol
_atom_site_fract_x
_atom_site_fract_y
_atom_site_fract_z
Ag1 Ag 0.000 0.500 0.000
I1 I 0.248 0.000 0.222
I2 I 0.743 0.500 0.223
I3 I 0.257 0.500 0.777
I4 I 0.752 0.000 0.778
Sr1 Sr 0.000 0.000 0.500
```

Calculated values
Symmetry: P2/m

Compound: Ag2TeI6
Source: OQMD
Functional: PBE
Structure: relaxed

Cell and atoms, written as CIF:
```
data_Ag2TeI6
_cell_length_a 7.882
_cell_length_b 7.447
_cell_length_c 13.929
_cell_angle_alpha 90.00
_cell_angle_beta 121.00
_cell_angle_gamma 90.00
_space_group_name_H-M_alt 'P 1'
_space_group_IT_number 1
_space_group_name_Hall 'P 1'
loop_
_atom_site_label
_atom_site_type_symbol
_atom_site_fract_x
_atom_site_fract_y
_atom_site_fract_z
Ag1 Ag 0.180 0.523 0.222
Ag2 Ag 0.820 0.023 0.278
Ag3 Ag 0.180 0.977 0.722
Ag4 Ag 0.820 0.477 0.778
I1 I 0.211 0.687 0.043
I2 I 0.455 0.171 0.104
I3 I 0.835 0.639 0.225
I4 I 0.165 0.139 0.275
I5 I 0.545 0.671 0.396
I6 I 0.789 0.187 0.457
I7 I 0.211 0.813 0.543
I8 I 0.455 0.329 0.604
I9 I 0.835 0.861 0.725
I10 I 0.165 0.361 0.775
I11 I 0.545 0.829 0.896
I12 I 0.789 0.313 0.957
Te1 Te 0.500 0.500 0.000
Te2 Te 0.500 0.000 0.500
```

Calculated values
Symmetry: P2_1/c

Compound: AgTeI6
Source: OQMD
Functional: PBE
Structure: relaxed

Cell and atoms, written as CIF:
```
data_AgTeI6
_cell_length_a 8.030
_cell_length_b 8.030
_cell_length_c 8.030
_cell_angle_alpha 60.00
_cell_angle_beta 60.00
_cell_angle_gamma 60.00
_space_group_name_H-M_alt 'P 1'
_space_group_IT_number 1
_space_group_name_Hall 'P 1'
loop_
_atom_site_label
_atom_site_type_symbol
_atom_site_fract_x
_atom_site_fract_y
_atom_site_fract_z
Ag1 Ag 0.500 0.500 0.500
I1 I 0.992 0.508 0.508
I2 I 0.992 0.992 0.508
I3 I 0.508 0.992 0.508
I4 I 0.508 0.508 0.992
I5 I 0.992 0.508 0.992
I6 I 0.508 0.992 0.992
Te1 Te 0.250 0.250 0.250
```

Calculated values
Symmetry: F-43m

Compound: TmAg2I4
Source: OQMD
Functional: PBE
Structure: relaxed

Cell and atoms, written as CIF:
```
data_TmAg2I4
_cell_length_a 8.077
_cell_length_b 8.077
_cell_length_c 8.077
_cell_angle_alpha 131.80
_cell_angle_beta 131.80
_cell_angle_gamma 70.54
_space_group_name_H-M_alt 'P 1'
_space_group_IT_number 1
_space_group_name_Hall 'P 1'
loop_
_atom_site_label
_atom_site_type_symbol
_atom_site_fract_x
_atom_site_fract_y
_atom_site_fract_z
Ag1 Ag 0.500 0.500 0.000
Ag2 Ag 0.250 0.750 0.500
I1 I 0.392 0.896 0.028
I2 I 0.104 0.132 0.496
I3 I 0.636 0.608 0.504
I4 I 0.868 0.364 0.972
Tm1 Tm 0.000 0.000 0.000
```

Calculated values
Spin magnetization (Bohr magnetons per cell): 0.0
Symmetry: I-4

Compound: InAg7
Source: OQMD
Functional: PBE
Structure: relaxed

Cell and atoms, written as CIF:
```
data_InAg7
_cell_length_a 2.911
_cell_length_b 4.018
_cell_length_c 34.394
_cell_angle_alpha 90.00
_cell_angle_beta 90.00
_cell_angle_gamma 90.00
_space_group_name_H-M_alt 'P 1'
_space_group_IT_number 1
_space_group_name_Hall 'P 1'
loop_
_atom_site_label
_atom_site_type_symbol
_atom_site_fract_x
_atom_site_fract_y
_atom_site_fract_z
Ag1 Ag 0.500 0.500 0.216
Ag2 Ag 0.000 0.000 0.260
Ag3 Ag 0.500 0.500 0.304
Ag4 Ag 0.000 0.000 0.348
Ag5 Ag 0.500 0.500 0.392
Ag6 Ag 0.000 0.000 0.435
Ag7 Ag 0.500 0.500 0.478
Ag8 Ag 0.000 0.000 0.522
Ag9 Ag 0.500 0.500 0.565
Ag10 Ag 0.000 0.000 0.608
Ag11 Ag 0.500 0.500 0.652
Ag12 Ag 0.000 0.000 0.696
Ag13 Ag 0.500 0.500 0.740
Ag14 Ag 0.000 0.000 0.784
In1 In 0.000 0.000 0.166
In2 In 0.500 0.500 0.834
```

Calculated values
Symmetry: Pmmn

Compound: InAg17
Source: OQMD
Functional: PBE
Structure: relaxed

Cell and atoms, written as CIF:
```
data_InAg17
_cell_length_a 5.018
_cell_length_b 5.791
_cell_length_c 32.921
_cell_angle_alpha 90.00
_cell_angle_beta 90.00
_cell_angle_gamma 90.00
_space_group_name_H-M_alt 'P 1'
_space_group_IT_number 1
_space_group_name_Hall 'P 1'
loop_
_atom_site_label
_atom_site_type_symbol
_atom_site_fract_x
_atom_site_fract_y
_atom_site_fract_z
Ag1 Ag 0.833 0.501 0.205
Ag2 Ag 0.833 0.999 0.205
Ag3 Ag 0.334 0.750 0.205
Ag4 Ag 0.998 0.750 0.280
Ag5 Ag 0.500 0.000 0.280
Ag6 Ag 0.500 0.500 0.280
Ag7 Ag 0.999 0.250 0.281
Ag8 Ag 0.667 0.750 0.354
Ag9 Ag 0.166 0.500 0.354
Ag10 Ag 0.166 0.000 0.354
Ag11 Ag 0.666 0.250 0.354
Ag12 Ag 0.333 0.750 0.427
Ag13 Ag 0.332 0.250 0.427
Ag14 Ag 0.833 0.000 0.427
Ag15 Ag 0.833 0.500 0.427
Ag16 Ag 0.000 0.750 0.500
Ag17 Ag 0.500 0.000 0.500
Ag18 Ag 0.500 0.500 0.500
Ag19 Ag 0.000 0.250 0.500
Ag20 Ag 0.167 0.000 0.573
Ag21 Ag 0.167 0.500 0.573
Ag22 Ag 0.668 0.750 0.573
Ag23 Ag 0.667 0.250 0.573
Ag24 Ag 0.334 0.750 0.646
Ag25 Ag 0.834 0.000 0.646
Ag26 Ag 0.834 0.500 0.646
Ag27 Ag 0.333 0.250 0.646
Ag28 Ag 0.001 0.750 0.719
Ag29 Ag 0.500 0.500 0.720
Ag30 Ag 0.500 0.000 0.720
Ag31 Ag 0.002 0.250 0.720
Ag32 Ag 0.666 0.250 0.795
Ag33 Ag 0.167 0.001 0.795
Ag34 Ag 0.167 0.499 0.795
In1 In 0.333 0.250 0.200
In2 In 0.667 0.750 0.800
```

Calculated values
Symmetry: P2_1/m

Number 1: total DFT energy (no corrections) -30.7 eV for the cell shown, volume 385.9 Å³/cell. Number 2: total DFT energy (no corrections) -35.4 eV for the cell shown, volume 359.2 Å³/cell. Number 3: total DFT energy (no corrections) -61.1 eV for the cell shown, volume 593.4 Å³/cell. Number 4: total DFT energy (no corrections) -19.7 eV for the cell shown, volume 246.1 Å³/cell. Number 5: total DFT energy (no corrections) -18.0 eV for the cell shown, volume 287.3 Å³/cell. Number 6: total DFT energy (no corrections) -14.8 eV for the cell shown, volume 244.8 Å³/cell. Number 7: total DFT energy (no corrections) -15.7 eV for the cell shown, volume 244.2 Å³/cell. Number 8: total DFT energy (no corrections) -38.6 eV for the cell shown, volume 700.8 Å³/cell. Number 9: total DFT energy (no corrections) -13.9 eV for the cell shown, volume 366.1 Å³/cell. Number 10: total DFT energy (no corrections) -19.6 eV for the cell shown, volume 286.8 Å³/cell. Number 11: total DFT energy (no corrections) -44.3 eV for the cell shown, volume 402.3 Å³/cell. Number 12: total DFT energy (no corrections) -99.8 eV for the cell shown, volume 956.7 Å³/cell.